1.
{"formula": "PrMgBi2", "functional": "PBE", "state": "relaxed", "cell": [[-3.779, -1.294, 2.330], [0.384, -2.818, 3.647], [-0.436, 4.164, 6.195]], "species": ["Bi", "Bi", "Pr", "Mg"], "fractional_positions": [[0.742, 0.742, 0.773], [0.258, 0.258, 0.227], [0.500, 0.500, 0.500], [0.000, 0.000, 0.000]], "total_energy_ev_per_cell": -15.79, "ef_ev_per_atom": -0.4133}

2.
{"formula": "PrMgBi", "functional": "PBE", "state": "relaxed", "cell": [[4.232, 0.000, 0.000], [0.000, 4.895, 0.000], [0.000, -2.448, 4.239]], "species": ["Pr", "Bi", "Mg"], "fractional_positions": [[0.667, 0.667, 0.333], [0.167, 0.333, 0.667], [0.166, 0.000, 0.000]], "total_energy_ev_per_cell": -11.67, "ef_ev_per_atom": -0.4728}

3.
{"formula": "Pr3MgBi4", "functional": "PBE", "state": "relaxed", "cell": [[6.520, 0.000, 0.000], [0.000, 6.520, 0.000], [0.000, 0.000, 6.520]], "species": ["Bi", "Bi", "Bi", "Bi", "Pr", "Pr", "Pr", "Mg"], "fractional_positions": [[0.500, 0.500, 0.500], [0.000, 0.500, 0.000], [0.500, 0.000, 0.000], [0.000, 0.000, 0.500], [0.500, 0.000, 0.500], [0.500, 0.500, 0.000], [0.000, 0.500, 0.500], [0.000, 0.000, 0.000]], "total_energy_ev_per_cell": -36.72, "ef_ev_per_atom": -0.6581}

4.
{"formula": "Pr2MgBi3", "functional": "PBE", "state": "relaxed", "cell": [[-0.127, -2.487, 6.163], [-4.745, -7.331, -3.056], [6.886, -0.104, -3.484]], "species": ["Bi", "Bi", "Bi", "Bi", "Bi", "Bi", "Mg", "Mg", "Pr", "Pr", "Pr", "Pr"], "fractional_positions": [[0.846, 0.424, 0.695], [0.151, 0.076, 0.305], [0.849, 0.924, 0.695], [0.547, 0.250, 0.000], [0.154, 0.576, 0.305], [0.453, 0.750, 0.000], [0.911, 0.750, 0.000], [0.089, 0.250, 0.000], [0.326, 0.414, 0.656], [0.670, 0.086, 0.344], [0.674, 0.586, 0.344], [0.330, 0.914, 0.656]], "total_energy_ev_per_cell": -52.33, "ef_ev_per_atom": -0.5618}

5.
{"formula": "PrMgBi2", "functional": "PBE", "state": "relaxed", "cell": [[-2.234, -0.169, 3.491], [-3.481, -0.266, -2.241], [0.525, -6.895, 0.003]], "species": ["Bi", "Bi", "Mg", "Pr"], "fractional_positions": [[0.000, 0.000, 0.244], [0.000, 0.000, 0.756], [0.500, 0.500, 0.000], [0.500, 0.500, 0.500]], "total_energy_ev_per_cell": -15.90, "ef_ev_per_atom": -0.4414}

6.
{"formula": "PrMg3Bi3", "functional": "PBE", "state": "relaxed", "cell": [[-0.865, 3.219, -3.048], [7.548, -5.017, -7.440], [-11.299, -3.135, -0.105]], "species": ["Pr", "Pr", "Mg", "Mg", "Mg", "Mg", "Mg", "Mg", "Bi", "Bi", "Bi", "Bi", "Bi", "Bi"], "fractional_positions": [[0.250, 0.667, 0.333], [0.750, 0.333, 0.667], [0.750, 0.956, 0.375], [0.250, 0.044, 0.625], [0.250, 0.374, 0.418], [0.750, 0.418, 0.043], [0.750, 0.626, 0.582], [0.250, 0.582, 0.957], [0.750, 0.870, 0.574], [0.250, 0.574, 0.704], [0.750, 0.705, 0.130], [0.250, 0.130, 0.426], [0.750, 0.426, 0.296], [0.250, 0.295, 0.870]], "total_energy_ev_per_cell": -47.08, "ef_ev_per_atom": -0.3334}